Compound: RbReSn2N
Source: the Alexandria database
Functional: GGA-PBE
Structure: relaxed

Output
VASP energy: -26.0 eV per cell
formation energy from raw total energies: 0.74 eV/atom
Fermi-level density of states: 4.42 states/eV/f.u.

a b c (Å): 5.5098 5.5098 3.8943
angles (deg): 90.00 90.00 90.00
Last column: nearest neighbours and their distance in Å.
Element x y z (fractional)
Rb 0.0000 0.0000 0.0000  8 Sn 3.37
Re 0.5000 0.5000 0.0000  2 N 1.95
Sn 0.0000 0.5000 0.5000  2 N 2.75
Sn 0.5000 0.0000 0.5000  2 N 2.75
N 0.5000 0.5000 0.5000  2 Re 1.95